# K2TlVF6

A relaxed K2TlVF6 crystal (GGA+U, Alexandria).

It has space group P2_1/c (No. 14), with a = 6.2518 Å, b = 6.5750 Å, c = 10.8581 Å, α = 90.00°, β = 124.60° and γ = 90.00°. Symmetry generates all atoms from K at (0.2267, 0.0464, 0.2417), Tl at (0.0000, 0.0000, 0.5000), V at (0.5000, 0.0000, 0.0000), F at (0.1999, 0.1651, 0.9599), F at (0.2714, 0.7454, 0.4234) and F at (0.4040, 0.0657, 0.7959).

The total energy comes out at -5.013 eV/atom. As for the energy relative to the lowest polymorph listed for this composition: 0.0 kJ per mole of atoms.